Record 1
A geometry-optimized KLi2Ru structure. Source: Alexandria via LeMat-Bulk, functional GGA-PBE. Values from VASP.

Summary:
**ρ**: 3.2 g/cm³
**Energy above the most stable polymorph in this dataset**: 116 meV/atom
**ΔH_f (0 K)**: 0.6193 eV per atom
**SG**: No. 44

```
&SYSTEM
  ibrav = 0, nat = 4, ntyp = 3
/
ATOMIC_SPECIES
K 39.10 K.upf
Li 6.94 Li.upf
Ru 101.07 Ru.upf
ATOMIC_POSITIONS crystal
K 0.258 0.758 0.500
Li 0.986 0.986 0.000
Li 0.727 0.227 0.500
Ru 0.529 0.529 0.000
CELL_PARAMETERS angstrom
6.223 -0.006 -0.009
3.364 5.236 0.009
-3.951 -4.160 2.411
```



Record 2
A geometry-optimized K2LiRu structure. Source: Alexandria via LeMat-Bulk, functional GGA-PBE. Values from VASP.

Summary:
**ρ**: 2.4 g/cm³
**Energy above the most stable polymorph in this dataset**: 367 meV/atom
**ΔH_f (0 K)**: 1.0932 eV per atom
**SG**: No. 225

```
&SYSTEM
  ibrav = 0, nat = 4, ntyp = 3
/
ATOMIC_SPECIES
Ru 101.07 Ru.upf
K 39.10 K.upf
Li 6.94 Li.upf
ATOMIC_POSITIONS crystal
Ru 0.500 0.500 0.500
K 0.250 0.250 0.250
K 0.750 0.750 0.750
Li 0.000 0.000 0.000
CELL_PARAMETERS angstrom
-1.380 -5.410 -0.901
-4.223 -1.290 -3.533
1.125 -2.412 -4.990
```



Record 3
A geometry-optimized KLi2Ru structure. Source: Alexandria via LeMat-Bulk, functional GGA-PBE. Values from VASP.

Summary:
**ρ**: 3.0 g/cm³
**Energy above the most stable polymorph in this dataset**: 418 meV/atom
**ΔH_f (0 K)**: 0.9215 eV per atom
**SG**: No. 216

```
&SYSTEM
  ibrav = 0, nat = 4, ntyp = 3
/
ATOMIC_SPECIES
K 39.10 K.upf
Li 6.94 Li.upf
Ru 101.07 Ru.upf
ATOMIC_POSITIONS crystal
K 0.500 0.500 0.500
Li 0.000 0.000 0.000
Li 0.250 0.250 0.250
Ru 0.750 0.750 0.750
CELL_PARAMETERS angstrom
-4.620 1.741 -0.509
-3.099 -0.014 3.877
-1.292 4.278 2.159
```



Record 4
A geometry-optimized KLiRu4 structure. Source: Alexandria via LeMat-Bulk, functional GGA-PBE. Values from VASP.

Summary:
**ρ**: 7.0 g/cm³
**ΔH_f (0 K)**: 0.8901 eV per atom
**SG**: No. 216

```
&SYSTEM
  ibrav = 0, nat = 6, ntyp = 3
/
ATOMIC_SPECIES
K 39.10 K.upf
Li 6.94 Li.upf
Ru 101.07 Ru.upf
ATOMIC_POSITIONS crystal
K 0.750 0.750 0.750
Li 0.000 0.000 0.000
Ru 0.876 0.375 0.375
Ru 0.375 0.375 0.876
Ru 0.375 0.876 0.375
Ru 0.375 0.375 0.375
CELL_PARAMETERS angstrom
0.000 3.762 3.762
3.762 0.000 3.762
3.762 3.762 0.000
```



Record 5
A geometry-optimized KLiRu2 structure. Source: Alexandria via LeMat-Bulk, functional GGA-PBE. Values from VASP.

Summary:
**ρ**: 6.2 g/cm³
**Energy above the most stable polymorph in this dataset**: 242 meV/atom
**ΔH_f (0 K)**: 0.7081 eV per atom
**SG**: No. 12

```
&SYSTEM
  ibrav = 0, nat = 4, ntyp = 3
/
ATOMIC_SPECIES
K 39.10 K.upf
Li 6.94 Li.upf
Ru 101.07 Ru.upf
ATOMIC_POSITIONS crystal
K 0.750 0.750 0.750
Li 0.250 0.250 0.250
Ru 0.971 0.971 0.029
Ru 0.529 0.529 0.471
CELL_PARAMETERS angstrom
-0.229 -1.819 -5.777
-1.066 -4.017 -4.412
-4.125 0.490 -1.739
```



Record 6
A geometry-optimized K2Li2Ru structure. Source: Alexandria via LeMat-Bulk, functional GGA-PBE. Values from VASP.

Summary:
**ρ**: 2.0 g/cm³
**ΔH_f (0 K)**: 0.8698 eV per atom
**SG**: No. 139

```
&SYSTEM
  ibrav = 0, nat = 5, ntyp = 3
/
ATOMIC_SPECIES
K 39.10 K.upf
Li 6.94 Li.upf
Ru 101.07 Ru.upf
ATOMIC_POSITIONS crystal
K 0.250 0.750 0.500
K 0.750 0.250 0.500
Li 0.317 0.317 0.000
Li 0.683 0.683 0.000
Ru 0.000 0.000 0.000
CELL_PARAMETERS angstrom
-3.235 3.235 3.885
3.235 -3.235 3.885
3.235 3.235 -3.885
```



Record 7
A geometry-optimized KLi2Ru structure. Source: Alexandria via LeMat-Bulk, functional GGA-PBE. Values from VASP.

Summary:
**ρ**: 3.1 g/cm³
**Energy above the most stable polymorph in this dataset**: 101 meV/atom
**ΔH_f (0 K)**: 0.6050 eV per atom
**SG**: No. 99

```
&SYSTEM
  ibrav = 0, nat = 4, ntyp = 3
/
ATOMIC_SPECIES
K 39.10 K.upf
Li 6.94 Li.upf
Ru 101.07 Ru.upf
ATOMIC_POSITIONS crystal
K 0.500 0.500 0.718
Li 0.000 0.000 0.055
Li 0.500 0.500 0.276
Ru 0.000 0.000 0.451
CELL_PARAMETERS angstrom
-2.249 1.310 1.283
-1.830 -1.733 -1.438
0.396 -6.525 7.355
```



Record 8
A geometry-optimized K2LiRu structure. Source: Alexandria via LeMat-Bulk, functional GGA-PBE. Values from VASP.

Summary:
**ρ**: 2.7 g/cm³
**Energy above the most stable polymorph in this dataset**: 193 meV/atom
**ΔH_f (0 K)**: 0.9191 eV per atom
**SG**: No. 160

```
&SYSTEM
  ibrav = 0, nat = 4, ntyp = 3
/
ATOMIC_SPECIES
K 39.10 K.upf
Li 6.94 Li.upf
Ru 101.07 Ru.upf
ATOMIC_POSITIONS crystal
K 0.022 0.022 0.022
K 0.239 0.239 0.239
Li 0.478 0.478 0.478
Ru 0.761 0.761 0.761
CELL_PARAMETERS angstrom
12.134 -0.006 -0.003
11.679 3.293 -0.003
11.679 1.612 2.871
```